Below is a geometry-optimized Rb3LiW2O8 structure, with properties calculated at the PBE+U level.

D(E_F) (states/eV per cell): 0.00
Raw total energy (eV per atom): -6.2249

a b c (Å): 6.176 6.176 7.976
angles (deg): 90.00 90.00 120.00
Sites, in units of the cell vectors:
Rb: 0.333 0.667 0.666
Rb: 0.667 0.333 0.334
Rb: 0.000 0.000 0.000
Li: 0.000 0.000 0.500
W: 0.333 0.667 0.235
W: 0.667 0.333 0.765
O: 0.333 0.667 0.008
O: 0.667 0.333 0.992
O: 0.174 0.826 0.317
O: 0.826 0.174 0.683
O: 0.174 0.348 0.317
O: 0.826 0.652 0.683
O: 0.652 0.826 0.317
O: 0.348 0.174 0.683